Entry from Alexandria via LeMat-Bulk: a relaxed structure of Tb3Y3HoSe8 (PBE).

Cell lengths 8.1487, 8.1487, 8.1487 Å; angles 60.01, 60.01, 60.01 degrees
Last column: nearest neighbours and their distance in Å.
Fractional positions:
Tb  0.0000  0.5000  0.5000  6 Se 2.88
Tb  0.5000  0.0000  0.5000  6 Se 2.88
Tb  0.5000  0.5000  0.0000  6 Se 2.88
Y  0.0000  0.0000  0.5000  6 Se 2.88
Y  0.0000  0.5000  0.0000  6 Se 2.88
Y  0.5000  0.0000  0.0000  6 Se 2.88
Ho  0.0000  0.0000  0.0000  6 Se 2.90
Se  0.2497  0.2497  0.2497  3 Y 2.88, 3 Tb 2.88
Se  0.2514  0.7481  0.7481  2 Y 2.88, 2 Tb 2.88, 1 Ho 2.90
Se  0.2519  0.2519  0.7486  2 Y 2.88, 2 Tb 2.88, 1 Ho 2.90
Se  0.2519  0.7486  0.2519  2 Y 2.88, 2 Tb 2.88, 1 Ho 2.90
Se  0.7481  0.2514  0.7481  2 Y 2.88, 2 Tb 2.88, 1 Ho 2.90
Se  0.7481  0.7481  0.2514  2 Y 2.88, 2 Tb 2.88, 1 Ho 2.90
Se  0.7486  0.2519  0.2519  2 Y 2.88, 2 Tb 2.88, 1 Ho 2.90
Se  0.7503  0.7503  0.7503  3 Y 2.88, 3 Tb 2.88

Computed properties:
**Spin magnetization**: 0.00 μB per cell
**Space group**: R-3m
**Raw formation energy**: -1844 meV per atom

---

Entry from Alexandria via LeMat-Bulk: a relaxed structure of KTlCd2 (PBE).

Cell lengths 5.5001, 5.5001, 5.5001 Å; angles 60.00, 60.00, 60.00 degrees
Last column: nearest neighbours and their distance in Å.
Fractional positions:
K  0.0000  0.0000  0.0000  4 Tl 3.37, 4 Cd 3.37
Tl  0.7500  0.7500  0.7500  4 K 3.37, 4 Cd 3.37
Cd  0.2500  0.2500  0.2500  4 Cd 3.37, 4 K 3.37
Cd  0.5000  0.5000  0.5000  4 Cd 3.37, 4 Tl 3.37

Computed properties:
**Spin magnetization**: 0.00 μB per cell
**Excess energy over the best structure of this formula in the dataset**: 0.072 eV per atom
**E_form**: 0.01 eV per atom
**Space group**: F-43m

---

Entry from Alexandria via LeMat-Bulk: a relaxed structure of Ca2FeBr (PBE).

Cell lengths 3.5598, 3.5598, 9.5402 Å; angles 90.00, 90.00, 90.00 degrees
Last column: nearest neighbours and their distance in Å.
Fractional positions:
Ca  0.0000  0.0000  0.0000  4 Br 3.00
Ca  0.5000  0.5000  0.3344  4 Fe 3.11
Fe  0.0000  0.0000  0.5255  4 Ca 3.11
Br  0.5000  0.5000  0.8283  4 Ca 3.00

Computed properties:
**Spin magnetization**: 2.95 μB per cell
**Excess energy over the best structure of this formula in the dataset**: 0.292 eV per atom
**Space group**: P4mm
**Raw formation energy**: -34 meV per atom

---

Entry from Alexandria via LeMat-Bulk: a relaxed structure of Ta5Pt (PBE).

Cell lengths 5.4610, 5.4610, 4.5699 Å; angles 90.00, 90.00, 120.00 degrees
Last column: nearest neighbours and their distance in Å.
Fractional positions:
Ta  0.0000  0.5000  0.0000  8 Ta 2.73-2.78
Ta  0.3333  0.6667  0.5000  6 Ta 2.78
Ta  0.5000  0.0000  0.0000  8 Ta 2.73-2.78
Ta  0.5000  0.5000  0.0000  8 Ta 2.73-2.78
Ta  0.6667  0.3333  0.5000  6 Ta 2.78
Pt  0.0000  0.0000  0.5000  6 Ta 3.15

Computed properties:
**Spin magnetization**: 0.00 μB per cell
**Excess energy over the best structure of this formula in the dataset**: 0.904 eV per atom
**E_form**: 0.63 eV per atom
**Space group**: P6/mmm

---

Entry from Alexandria via LeMat-Bulk: a relaxed structure of Pr4Sm3Dy5 (PBE).

Cell lengths 6.2729, 7.2363, 8.8650 Å; angles 90.21, 90.00, 90.06 degrees
Last column: nearest neighbours and their distance in Å.
Fractional positions:
Pr  0.1658  0.2522  0.3326  7 Dy 3.58-3.65, 2 Sm 3.61-3.63, 3 Pr 3.61-3.65
Pr  0.3315  0.0006  0.6679  6 Dy 3.60-3.63, 2 Sm 3.61-3.63, 4 Pr 3.61-3.65
Pr  0.6685  0.9994  0.3321  6 Dy 3.60-3.63, 2 Sm 3.61-3.63, 4 Pr 3.61-3.65
Pr  0.8342  0.7478  0.6674  7 Dy 3.58-3.65, 2 Sm 3.61-3.63, 3 Pr 3.61-3.65
Sm  0.0000  0.5000  0.0000  6 Dy 3.60-3.62, 4 Sm 3.60-3.63, 2 Pr 3.61
Sm  0.4979  0.7480  0.0007  4 Sm 3.59-3.65, 5 Dy 3.60-3.64, 3 Pr 3.61-3.63
Sm  0.5021  0.2520  0.9993  4 Sm 3.59-3.65, 5 Dy 3.60-3.64, 3 Pr 3.61-3.63
Dy  0.0000  0.0000  0.0000  4 Pr 3.60-3.61, 6 Sm 3.62-3.64, 2 Dy 3.63
Dy  0.1678  0.7475  0.3324  6 Pr 3.58-3.65, 2 Sm 3.60, 4 Dy 3.60-3.63
Dy  0.3345  0.4999  0.6668  4 Dy 3.60-3.62, 3 Sm 3.60-3.62, 5 Pr 3.61-3.62
Dy  0.6655  0.5001  0.3332  4 Dy 3.60-3.62, 3 Sm 3.60-3.62, 5 Pr 3.61-3.62
Dy  0.8322  0.2525  0.6676  6 Pr 3.58-3.65, 2 Sm 3.60, 4 Dy 3.60-3.63

Computed properties:
**Spin magnetization**: 0.00 μB per cell
**Excess energy over the best structure of this formula in the dataset**: 0.000 eV per atom
**E_form**: 0.02 eV per atom
**Space group**: P-1